# Ba2AcV2O7

Ba2AcV2O7 after structural relaxation (PBE with a Hubbard U, Alexandria via LeMat-Bulk).

Its crystal system is orthorhombic. For the calculated density, the calculation gives 6.81 g cm⁻³. The value obtained for the spin magnetization is 3.000 μB per cell. The uncorrected energy comes out at -7.42 eV/atom.

Geometry as CIF:
```
data_Ba2AcV2O7
_chemical_formula_sum 'Ba2 Ac1 V2 O7'
_cell_length_a 10.912
_cell_length_b 10.906
_cell_length_c 4.072
_cell_angle_alpha 79.33
_cell_angle_beta 79.16
_cell_angle_gamma 21.51
_symmetry_space_group_name_H-M 'P 1'
_symmetry_Int_Tables_number 1
loop_
_symmetry_equiv_pos_as_xyz
'x,y,z'
loop_
_atom_site_label
_atom_site_type_symbol
_atom_site_fract_x
_atom_site_fract_y
_atom_site_fract_z
_atom_site_occupancy
Ba1 Ba 0.181 0.181 0.819 1
Ba2 Ba 0.819 0.819 0.181 1
Ac1 Ac 0.000 0.000 0.000 1
V1 V 0.406 0.406 0.594 1
V2 V 0.594 0.594 0.406 1
O1 O 0.088 0.088 0.412 1
O2 O 0.314 0.314 0.686 1
O3 O 0.412 0.412 0.088 1
O4 O 0.500 0.500 0.500 1
O5 O 0.588 0.588 0.912 1
O6 O 0.686 0.686 0.314 1
O7 O 0.912 0.912 0.588 1
```